TaSiHg3: single point on PBEsol structure, SCAN.

Unit cell a=5.2329 b=5.2329 c=5.2329 alpha=90.00 beta=90.00 gamma=90.00
Closest atoms and distances in Å follow each position.
Fractional positions:
Ta: 0.0000 0.0000 0.0000  6 Hg 2.62
Si: 0.5000 0.5000 0.5000  12 Hg 3.70
Hg: 0.0000 0.0000 0.5000  2 Ta 2.62
Hg: 0.0000 0.5000 0.0000  2 Ta 2.62
Hg: 0.5000 0.0000 0.0000  2 Ta 2.62

Computed properties:
- total magnetic moment (Bohr magnetons per cell) = 0.0
- raw formation energy (kJ per mole of atoms) = 121.1
- uncorrected energy (Ry/atom) = -4.040